Record 1
DFT (SCAN) results for KNaThF6 at its PBEsol-relaxed geometry.

Computed properties:
Theoretical density   5.1 Mg/m³
Formation energy (no corrections)   -3810.7 meV per atom
Space-group type   P-3 (147)

a b c (Å): 6.2804 6.2804 7.8084
angles (deg): 90.00 90.00 120.00
Sites, in units of the cell vectors:
1 F 0.0773 0.6889 0.9017
2 F 0.3825 0.1061 0.6757
3 Na 0.0000 0.0000 0.7663
4 F 0.3884 0.0773 0.0983
5 K 0.3333 0.6667 0.6093
6 F 0.6116 0.9227 0.9017
7 F 0.3111 0.3884 0.9017
8 F 0.1061 0.7236 0.3243
9 F 0.9227 0.3111 0.0983
10 F 0.6175 0.8939 0.3243
11 F 0.2764 0.3825 0.3243
12 F 0.8939 0.2764 0.6757
13 F 0.7236 0.6175 0.6757
14 Th 0.3333 0.6667 0.1223
15 Na 0.0000 0.0000 0.2337
16 F 0.6889 0.6116 0.0983
17 Th 0.6667 0.3333 0.8777
18 K 0.6667 0.3333 0.3907

Record 2
DFT (SCAN) results for Li3Ta at its PBEsol-relaxed geometry.

Computed properties:
Formation energy from the elements   0.4727 eV/atom
Theoretical density   5.0 Mg/m³
Space-group type   C2/m (12)

a b c (Å): 2.5489 4.9904 5.4970
angles (deg): 93.82 90.00 104.80
Sites, in units of the cell vectors:
1 Li 0.7491 0.4981 0.2463
2 Li 0.5000 0.0000 0.5000
3 Ta 0.0000 0.0000 0.0000
4 Li 0.2509 0.5019 0.7537

Record 3
DFT (SCAN) results for BaSc2Zn2 at its PBEsol-relaxed geometry.

Computed properties:
Formation energy from the elements   0.0174 eV/atom
Theoretical density   4.4 Mg/m³
Space-group type   I4/mmm (139)

a b c (Å): 5.0320 5.0320 6.4410
angles (deg): 112.99 112.99 90.00
Each line ends with the local moment (μB).
Sites, in units of the cell vectors:
1 Zn 0.7500 0.2500 0.5000  0.03
2 Sc 0.3442 0.3442 0.6884  0.31
3 Ba 0.0000 0.0000 0.0000  0.05
4 Sc 0.6558 0.6558 0.3116  0.31
5 Zn 0.2500 0.7500 0.5000  0.03

Record 4
DFT (SCAN) results for LiY2Ir at its PBEsol-relaxed geometry.

Computed properties:
Formation energy from the elements   -0.5283 eV/atom
Theoretical density   6.9 Mg/m³
Space-group type   P4/mmm (123)

a b c (Å): 3.4515 3.4515 7.6022
angles (deg): 90.00 90.00 90.00
Each line ends with the local moment (μB).
Sites, in units of the cell vectors:
1 Ir 0.5000 0.5000 0.5000  0.06
2 Y 0.0000 0.0000 0.7114  0.00
3 Y 0.0000 0.0000 0.2885  0.00
4 Li 0.5000 0.5000 0.0000  0.01

Record 5
DFT (SCAN) results for Ca20Cd3Ga9 at its PBEsol-relaxed geometry.

Computed properties:
Formation energy from the elements   -0.4069 eV/atom
Theoretical density   3.2 Mg/m³
Space-group type   P422 (89)

a b c (Å): 7.9264 7.9264 14.7100
angles (deg): 90.00 90.00 90.00
Sites, in units of the cell vectors:
1 Ca 0.8272 0.3271 0.6104
2 Ca 0.0000 0.0000 0.7519
3 Ca 0.8336 0.3190 0.8939
4 Cd 0.5000 0.5000 0.5000
5 Ca 0.3271 0.8272 0.3896
6 Ca 0.0000 0.0000 0.2481
7 Ga 0.3874 0.1143 0.2482
8 Ca 0.5000 0.5000 0.2439
9 Ca 0.6729 0.8272 0.6104
10 Ca 0.3271 0.1728 0.6104
11 Ca 0.1728 0.6729 0.6104
12 Ca 0.6810 0.1664 0.1061
13 Cd 0.0000 0.0000 0.5000
14 Ga 0.8857 0.3874 0.2482
15 Ga 0.6126 0.1143 0.7518
16 Ga 0.3874 0.8857 0.7518
17 Ca 0.8272 0.6729 0.3896
18 Ca 0.1664 0.3190 0.1061
19 Ca 0.3190 0.8336 0.1061
20 Cd 0.5000 0.5000 0.0000
21 Ca 0.3190 0.1664 0.8939
22 Ca 0.5000 0.5000 0.7561
23 Ca 0.8336 0.6810 0.1061
24 Ca 0.1728 0.3271 0.3896
25 Ca 0.6810 0.8336 0.8939
26 Ga 0.8857 0.6126 0.7518
27 Ga 0.1143 0.6126 0.2482
28 Ga 0.0000 0.0000 0.0000
29 Ca 0.1664 0.6810 0.8939
30 Ca 0.6729 0.1728 0.3896
31 Ga 0.6126 0.8857 0.2482
32 Ga 0.1143 0.3874 0.7518

Record 6
DFT (SCAN) results for LiTeOs at its PBEsol-relaxed geometry.

Computed properties:
Theoretical density   9.8 Mg/m³
Formation energy (no corrections)   168.9 meV per atom
Space-group type   F-43m (216)

a b c (Å): 4.2642 4.2642 4.2642
angles (deg): 60.00 60.00 60.00
Sites, in units of the cell vectors:
1 Te 0.0000 0.0000 0.0000
2 Li 0.5000 0.5000 0.5000
3 Os 0.2500 0.2500 0.2500

Record 7
DFT (SCAN) results for HfMoN2F at its PBEsol-relaxed geometry.

Computed properties:
Theoretical density   9.0 Mg/m³
Formation energy (no corrections)   -405.9 meV per atom
Space-group type   P4/mmm (123)

a b c (Å): 3.8424 3.9373 3.9373
angles (deg): 90.00 90.00 90.00
Sites, in units of the cell vectors:
1 F 0.5000 0.0000 0.0000
2 N 0.0000 0.0000 0.5000
3 N 0.0000 0.5000 0.0000
4 Hf 0.5000 0.5000 0.5000
5 Mo 0.0000 0.0000 0.0000

Record 8
DFT (SCAN) results for ErBiO3 at its PBEsol-relaxed geometry.

Computed properties:
Theoretical density   9.5 Mg/m³
Formation energy (no corrections)   -2502.0 meV per atom
Space-group type   R-3 (148)

a b c (Å): 5.9222 5.9222 5.9809
angles (deg): 60.32 60.32 60.00
Sites, in units of the cell vectors:
1 Bi 0.3603 0.3603 0.9191
2 O 0.5449 0.2140 0.2463
3 Er 0.8584 0.8584 0.4247
4 O 0.9948 0.5449 0.2463
5 O 0.2140 0.9948 0.2463
6 O 0.0052 0.4551 0.7537
7 Bi 0.6397 0.6397 0.0809
8 O 0.4551 0.7860 0.7537
9 O 0.7860 0.0052 0.7537
10 Er 0.1416 0.1416 0.5753